1.
Compound: LiAgI2N
Source: Alexandria via LeMat-Bulk
Functional: PBE-GGA
Structure: optimized geometry

Summary:
D(E_F)   5.57 states/eV/f.u.
M_tot   0.00 Bohr magnetons per cell
Raw total energy   -2.45 eV per atom
Energy relative to the lowest polymorph listed for this composition   0.351 eV per atom
SG   P4/mmm (123)

Lattice parameters (Å, degrees): 5.491 5.491 3.816 90.00 90.00 90.00
Atoms (fractional coordinates):
Li 0.000 0.000 0.000
Ag 0.500 0.500 0.500
I 0.000 0.500 0.000
I 0.500 0.000 0.000
N 0.000 0.000 0.500

2.
Compound: KCrSn3
Source: Alexandria via LeMat-Bulk
Functional: PBE-GGA
Structure: optimized geometry

Summary:
D(E_F)   6.89 states/eV/f.u.
M_tot   0.61 Bohr magnetons per cell
Raw total energy   -4.47 eV per atom
Energy relative to the lowest polymorph listed for this composition   0.000 eV per atom
SG   Pm-3m (221)
Energy of formation   0.081 eV/atom

Lattice parameters (Å, degrees): 5.137 5.137 5.137 90.00 90.00 90.00
Atoms (fractional coordinates):
K 0.000 0.000 0.000
Cr 0.500 0.500 0.500
Sn 0.000 0.500 0.500
Sn 0.500 0.000 0.500
Sn 0.500 0.500 0.000

3.
Compound: K3Na4Hg2
Source: Alexandria via LeMat-Bulk
Functional: PBE-GGA
Structure: optimized geometry

Summary:
D(E_F)   4.58 states/eV/f.u.
M_tot   0.00 Bohr magnetons per cell
Raw total energy   -1.14 eV per atom
SG   C2/m (12)
Energy of formation   -0.119 eV/atom

Lattice parameters (Å, degrees): 8.456 8.456 10.185 113.30 113.30 34.30
Atoms (fractional coordinates):
K 0.000 0.000 0.000
K 0.372 0.372 0.618
K 0.628 0.628 0.382
Na 0.115 0.115 0.691
Na 0.325 0.325 0.002
Na 0.675 0.675 0.998
Na 0.885 0.885 0.309
Hg 0.236 0.236 0.230
Hg 0.764 0.764 0.770

4.
Compound: AgMo2Pb
Source: Alexandria via LeMat-Bulk
Functional: PBE-GGA
Structure: optimized geometry

Summary:
D(E_F)   2.80 states/eV/f.u.
M_tot   0.00 Bohr magnetons per cell
Raw total energy   -6.17 eV per atom
SG   P4/mmm (123)
Energy of formation   0.886 eV/atom

Lattice parameters (Å, degrees): 2.874 2.874 9.005 90.00 90.00 90.00
Atoms (fractional coordinates):
Ag 0.000 0.000 0.000
Mo 0.500 0.500 0.235
Mo 0.500 0.500 0.765
Pb 0.000 0.000 0.500

5.
Compound: CsMoOs2
Source: Alexandria via LeMat-Bulk
Functional: PBE-GGA
Structure: optimized geometry

Summary:
D(E_F)   3.91 states/eV/f.u.
M_tot   0.00 Bohr magnetons per cell
Raw total energy   -6.42 eV per atom
Energy relative to the lowest polymorph listed for this composition   0.251 eV per atom
SG   Fm-3m (225)
Energy of formation   2.118 eV/atom

Lattice parameters (Å, degrees): 4.721 4.721 4.721 60.00 60.00 60.00
Atoms (fractional coordinates):
Cs 0.000 0.000 0.000
Mo 0.500 0.500 0.500
Os 0.250 0.250 0.250
Os 0.750 0.750 0.750

6.
Compound: BeAl2Ga2
Source: Alexandria via LeMat-Bulk
Functional: PBE-GGA
Structure: optimized geometry

Summary:
D(E_F)   2.04 states/eV/f.u.
M_tot   0.00 Bohr magnetons per cell
Raw total energy   -3.20 eV per atom
Energy relative to the lowest polymorph listed for this composition   0.000 eV per atom
SG   P4/mbm (127)
Energy of formation   0.248 eV/atom

Lattice parameters (Å, degrees): 6.172 6.172 4.291 90.00 90.00 90.00
Atoms (fractional coordinates):
Be 0.000 0.000 0.000
Be 0.500 0.500 0.000
Al 0.166 0.334 0.500
Al 0.334 0.834 0.500
Al 0.666 0.166 0.500
Al 0.834 0.666 0.500
Ga 0.148 0.648 0.000
Ga 0.352 0.148 0.000
Ga 0.648 0.852 0.000
Ga 0.852 0.352 0.000

- M_tot of number 4 (AgMo2Pb)?
  0.00 Bohr magnetons per cell